Density functional theory data (PBE-GGA) for a geometry-optimized PrNbAsO structure.

POSCAR file:
```
PrNbAsO
1.0
4.0543 0.0000 0.0000
0.0000 4.0543 0.0000
0.0000 0.0000 9.3405
Pr Nb As O
2 2 2 2
Cartesian
1.0136 1.0136 1.2095 Pr
3.0407 3.0407 8.1310 Pr
1.0136 3.0407 4.6702 Nb
3.0407 1.0136 4.6702 Nb
3.0407 3.0407 2.9110 As
1.0136 1.0136 6.4294 As
3.0407 1.0136 0.0000 O
1.0136 3.0407 0.0000 O
```

Total moment ... 0.016 μB/atom
E above lowest polymorph ... 0.0 meV per atom

=====

Density functional theory data (PBE-GGA) for a geometry-optimized PrNbAsO structure.

POSCAR file:
```
PrNbAsO
1.0
-4.7507 -1.1381 0.0911
0.8416 -3.3152 2.4702
-0.8689 4.1110 5.8134
Nb As Pr O
2 2 2 2
Cartesian
-1.1316 2.0146 6.6924 Nb
-3.9577 -0.8201 3.8508 Nb
-3.4093 0.8139 5.8569 As
-1.4144 -0.8690 2.9187 As
-3.2596 -0.4038 0.5686 Pr
-2.0657 2.0413 3.4434 Pr
-4.3791 0.8270 2.6018 O
-1.5476 3.6631 5.4435 O
```

Total moment ... 0.000 μB/atom
E above lowest polymorph ... 231.7 meV per atom

=====

Density functional theory data (PBE-GGA) for a geometry-optimized PrNbAsO structure.

POSCAR file:
```
PrNbAsO
1.0
-4.2116 0.5862 1.8416
2.1796 -1.8927 5.5870
1.4151 5.7650 1.4010
Nb O Pr As
2 2 2 2
Cartesian
-1.1061 3.1564 2.2956 Nb
-0.1235 -1.1938 5.9275 Nb
0.2184 0.7853 6.0794 O
-0.5270 4.9296 3.0554 O
2.2105 1.1008 4.7050 Pr
1.8988 4.8684 2.7926 Pr
2.9369 3.9515 5.4585 As
1.1662 1.9922 2.0329 As
```

Total moment ... 0.051 μB/atom
E above lowest polymorph ... 474.6 meV per atom